# 1
The following is a DFT calculation (PBE-GGA) of Pr4Se3N2 after structural relaxation.

energy relative to the lowest polymorph listed for this composition = 3 meV/atom
space-group type = No. 15

a b c (Å): 8.411 8.411 6.548
angles (deg): 89.80 89.80 75.64
Element x y z (fractional)
Pr 0.585 0.745 0.572
Pr 0.255 0.415 0.928
Pr 0.415 0.255 0.428
Pr 0.745 0.585 0.072
Pr 0.943 0.310 0.530
Pr 0.690 0.057 0.970
Pr 0.057 0.690 0.470
Pr 0.310 0.943 0.030
Se 0.984 0.247 0.034
Se 0.403 0.597 0.250
Se 0.753 0.016 0.466
Se 0.016 0.753 0.966
Se 0.597 0.403 0.750
Se 0.247 0.984 0.534
N 0.830 0.582 0.415
N 0.582 0.830 0.915
N 0.170 0.418 0.585
N 0.418 0.170 0.085


# 2
The following is a DFT calculation (PBE-GGA) of Pr4Se3N after structural relaxation.

E_tot = -51.24 eV for the cell shown
space-group type = No. 65

a b c (Å): 4.054 7.228 7.228
angles (deg): 108.54 90.00 90.00
Element x y z (fractional)
Pr 0.000 0.212 0.212
Pr 0.500 0.778 0.222
Pr 0.000 0.788 0.788
Pr 0.500 0.222 0.778
Se 0.000 0.000 0.500
Se 0.500 0.500 0.500
Se 0.000 0.500 0.000
N 0.500 0.000 0.000


# 3
The following is a DFT calculation (PBE-GGA) of Pr2SeN2 after structural relaxation.

E_tot = -36.01 eV for the cell shown
space-group type = No. 12

a b c (Å): 3.988 3.988 6.917
angles (deg): 83.41 83.41 69.14
Element x y z (fractional)
Pr 0.324 0.324 0.294
Pr 0.676 0.676 0.706
Se 0.000 0.000 0.000
N 0.162 0.838 0.500
N 0.838 0.162 0.500


# 4
The following is a DFT calculation (PBE-GGA) of TbPrSeN after structural relaxation.

E_tot = -27.78 eV for the cell shown
space-group type = No. 160

a b c (Å): 3.767 3.767 7.078
angles (deg): 74.57 74.57 60.00
Element x y z (fractional)
Tb 0.517 0.517 0.449
Pr 0.984 0.984 0.047
Se 0.755 0.755 0.736
N 0.244 0.244 0.268


# 5
The following is a DFT calculation (PBE-GGA) of Pr4TeSe2N after structural relaxation.

E_tot = -99.91 eV for the cell shown
space-group type = No. 63

a b c (Å): 4.134 7.373 15.274
angles (deg): 90.00 90.00 106.28
Element x y z (fractional)
Pr 0.275 0.550 0.128
Pr 0.725 0.450 0.628
Pr 0.725 0.450 0.872
Pr 0.275 0.550 0.372
Pr 0.000 0.000 0.500
Pr 0.000 0.000 0.000
Pr 0.410 0.821 0.750
Pr 0.590 0.179 0.250
Te 0.094 0.189 0.750
Te 0.906 0.811 0.250
Se 0.361 0.721 0.558
Se 0.639 0.279 0.058
Se 0.639 0.279 0.442
Se 0.361 0.721 0.942
N 0.823 0.646 0.750
N 0.177 0.354 0.250


# 6
The following is a DFT calculation (PBE-GGA) of Pr4Te2SeN2 after structural relaxation.

E_tot = -59.50 eV for the cell shown
space-group type = No. 12

a b c (Å): 4.177 7.692 8.342
angles (deg): 108.30 104.50 90.00
Element x y z (fractional)
Pr 0.211 0.153 0.423
Pr 0.789 0.847 0.577
Pr 0.545 0.764 0.089
Pr 0.455 0.236 0.911
Te 0.131 0.536 0.262
Te 0.869 0.464 0.738
Se 0.000 0.000 0.000
N 0.675 0.982 0.351
N 0.325 0.018 0.649


# 7
The following is a DFT calculation (PBE-GGA) of Pr8Te4Se3N after structural relaxation.

E_tot = -94.49 eV for the cell shown
space-group type = No. 166

a b c (Å): 8.593 8.779 8.593
angles (deg): 119.30 120.00 90.00
Element x y z (fractional)
Pr 0.216 0.704 0.987
Pr 0.217 0.704 0.433
Pr 0.259 0.277 0.518
Pr 0.771 0.704 0.987
Pr 0.229 0.296 0.013
Pr 0.741 0.723 0.482
Pr 0.783 0.296 0.567
Pr 0.784 0.296 0.013
Te 0.500 0.000 0.000
Te 0.500 0.000 0.500
Te 0.000 0.000 0.000
Te 0.000 0.000 0.500
Se 0.500 0.500 0.000
Se 0.500 0.500 0.500
Se 0.000 0.500 0.500
N 0.000 0.500 0.000


# 8
The following is a DFT calculation (PBE-GGA) of Pr4Te2SeN after structural relaxation.

E_tot = -48.86 eV for the cell shown
space-group type = No. 10

a b c (Å): 4.146 7.316 7.635
angles (deg): 108.15 90.00 90.00
Element x y z (fractional)
Pr 0.500 0.207 0.196
Pr 0.500 0.793 0.804
Pr 0.000 0.228 0.799
Pr 0.000 0.772 0.201
Te 0.500 0.000 0.500
Te 0.000 0.500 0.500
Se 0.500 0.500 0.000
N 0.000 0.000 0.000


# 9
The following is a DFT calculation (PBE-GGA) of PrUSeN2 after structural relaxation.

E_tot = -43.76 eV for the cell shown
space-group type = No. 107

a b c (Å): 3.884 3.884 6.857
angles (deg): 106.45 106.45 90.00
Element x y z (fractional)
Pr 0.852 0.852 0.705
U 0.163 0.163 0.326
Se 0.507 0.507 0.013
N 0.739 0.239 0.478
N 0.239 0.739 0.478


# 10
The following is a DFT calculation (PBE-GGA) of Pr2ZrSe2N2 after structural relaxation.

E_tot = -53.17 eV for the cell shown
space-group type = No. 139

a b c (Å): 4.299 4.299 8.239
angles (deg): 105.12 105.12 90.00
Element x y z (fractional)
Pr 0.387 0.387 0.774
Pr 0.613 0.613 0.226
Zr 0.000 0.000 0.000
Se 0.180 0.180 0.361
Se 0.820 0.820 0.639
N 0.000 0.500 0.000
N 0.500 0.000 0.000


# 11
The following is a DFT calculation (PBE-GGA) of Pr3SiN4 after structural relaxation.

E_tot = -123.48 eV for the cell shown
space-group type = No. 31

a b c (Å): 5.540 6.716 7.537
angles (deg): 90.00 90.00 90.00
Element x y z (fractional)
Pr 0.526 0.856 0.000
Pr 0.027 0.664 0.248
Pr 0.527 0.336 0.252
Pr 0.026 0.144 0.500
Pr 0.527 0.336 0.748
Pr 0.027 0.664 0.752
Si 0.000 0.169 0.000
Si 0.500 0.831 0.500
N 0.077 0.906 0.000
N 0.679 0.175 0.000
N 0.089 0.296 0.199
N 0.589 0.704 0.301
N 0.179 0.825 0.500
N 0.577 0.094 0.500
N 0.589 0.704 0.699
N 0.089 0.296 0.801


# 12
The following is a DFT calculation (PBE-GGA) of Pr2SiN3 after structural relaxation.

energy relative to the lowest polymorph listed for this composition = 174 meV/atom
space-group type = No. 71

a b c (Å): 3.651 3.808 6.713
angles (deg): 106.48 105.78 90.00
Element x y z (fractional)
Pr 0.646 0.646 0.292
Pr 0.354 0.354 0.708
Si 0.000 0.000 0.000
N 0.000 0.500 0.000
N 0.848 0.848 0.696
N 0.152 0.152 0.304


# 13
The following is a DFT calculation (PBE-GGA) of Pr2Si2N5 after structural relaxation.

E_tot = -69.55 eV for the cell shown
space-group type = No. 12

a b c (Å): 3.805 5.477 5.981
angles (deg): 101.93 90.00 110.33
Element x y z (fractional)
Pr 0.394 0.788 0.677
Pr 0.606 0.212 0.323
Si 0.152 0.303 0.893
Si 0.848 0.697 0.107
N 0.324 0.649 0.054
N 0.676 0.351 0.946
N 0.145 0.290 0.599
N 0.855 0.710 0.401
N 0.000 0.000 0.000


# 14
The following is a DFT calculation (PBE-GGA) of Pr12Si3N5 after structural relaxation.

E_tot = -524.60 eV for the cell shown
space-group type = No. 230

a b c (Å): 13.847 13.847 13.847
angles (deg): 109.47 109.47 109.47
Element x y z (fractional)
Si 0.750 0.375 0.125
Si 0.875 0.750 0.125
Si 0.375 0.750 0.625
Si 0.250 0.125 0.375
Si 0.875 0.125 0.250
Si 0.375 0.625 0.250
Si 0.625 0.375 0.750
Si 0.125 0.875 0.750
Si 0.750 0.875 0.625
Si 0.625 0.250 0.375
Si 0.125 0.250 0.875
Si 0.250 0.625 0.875
N 0.125 0.375 0.250
N 0.000 0.500 0.000
N 0.000 0.000 0.000
N 0.375 0.250 0.125
N 0.500 0.000 0.500
N 0.500 0.500 0.000
N 0.125 0.750 0.375
N 0.750 0.125 0.875
N 0.750 0.625 0.375
N 0.375 0.125 0.750
N 0.625 0.875 0.250
N 0.500 0.500 0.500
N 0.500 0.000 0.000
N 0.000 0.000 0.500
N 0.250 0.375 0.625
N 0.250 0.875 0.125
N 0.000 0.500 0.500
N 0.875 0.250 0.625
N 0.625 0.750 0.875
N 0.875 0.625 0.750
Pr 0.704 0.117 0.022
Pr 0.318 0.522 0.405
Pr 0.978 0.383 0.296
Pr 0.522 0.204 0.117
Pr 0.587 0.704 0.682
Pr 0.978 0.595 0.182
Pr 0.318 0.796 0.413
Pr 0.095 0.913 0.117
Pr 0.595 0.978 0.682
Pr 0.704 0.587 0.182
Pr 0.796 0.478 0.383
Pr 0.818 0.905 0.022
Pr 0.117 0.704 0.522
Pr 0.383 0.405 0.087
Pr 0.087 0.905 0.383
Pr 0.413 0.117 0.595
Pr 0.087 0.182 0.204
Pr 0.478 0.682 0.095
Pr 0.818 0.913 0.296
Pr 0.117 0.413 0.095
Pr 0.383 0.978 0.796
Pr 0.595 0.617 0.413
Pr 0.905 0.818 0.522
Pr 0.796 0.318 0.913
Pr 0.405 0.383 0.587
Pr 0.095 0.182 0.478
Pr 0.204 0.682 0.087
Pr 0.182 0.087 0.704
Pr 0.617 0.022 0.204
Pr 0.883 0.587 0.905
Pr 0.522 0.318 0.905
Pr 0.587 0.883 0.405
Pr 0.913 0.818 0.796
Pr 0.913 0.095 0.617
Pr 0.883 0.296 0.478
Pr 0.182 0.095 0.978
Pr 0.617 0.595 0.913
Pr 0.405 0.022 0.318
Pr 0.296 0.413 0.818
Pr 0.204 0.522 0.617
Pr 0.905 0.087 0.883
Pr 0.682 0.204 0.587
Pr 0.478 0.796 0.883
Pr 0.022 0.405 0.818
Pr 0.413 0.296 0.318
Pr 0.022 0.617 0.704
Pr 0.682 0.478 0.595
Pr 0.296 0.883 0.978


# 15
The following is a DFT calculation (PBE-GGA) of Pr3Si2N6 after structural relaxation.

E_tot = -86.45 eV for the cell shown
space-group type = No. 139

a b c (Å): 3.739 3.739 10.481
angles (deg): 100.28 100.28 90.00
Element x y z (fractional)
Pr 0.000 0.000 0.000
Pr 0.817 0.817 0.635
Pr 0.183 0.183 0.365
Si 0.394 0.394 0.787
Si 0.606 0.606 0.213
N 0.087 0.587 0.173
N 0.587 0.087 0.173
N 0.913 0.413 0.827
N 0.413 0.913 0.827
N 0.694 0.694 0.388
N 0.306 0.306 0.612


# 16
The following is a DFT calculation (PBE-GGA) of Pr4SiN after structural relaxation.

E_tot = -72.27 eV for the cell shown
space-group type = No. 36

a b c (Å): 5.059 6.944 9.540
angles (deg): 90.00 105.38 90.00
Element x y z (fractional)
Pr 0.913 0.262 0.826
Pr 0.087 0.762 0.174
Pr 0.469 0.921 0.938
Pr 0.531 0.421 0.062
Pr 0.709 0.574 0.417
Pr 0.291 0.074 0.583
Pr 0.661 0.070 0.322
Pr 0.339 0.570 0.678
Si 0.853 0.842 0.707
Si 0.147 0.342 0.293
N 0.592 0.765 0.183
N 0.408 0.265 0.817


# 17
The following is a DFT calculation (PBE-GGA) of Pr6Si2N after structural relaxation.

energy relative to the lowest polymorph listed for this composition = 175 meV/atom
space-group type = No. 136

a b c (Å): 6.739 6.739 12.260
angles (deg): 90.00 90.00 90.00
Element x y z (fractional)
Pr 0.307 0.307 0.353
Pr 0.693 0.693 0.353
Pr 0.193 0.807 0.853
Pr 0.807 0.193 0.853
Pr 0.193 0.807 0.147
Pr 0.807 0.193 0.147
Pr 0.307 0.307 0.647
Pr 0.693 0.693 0.647
Pr 0.276 0.276 0.000
Pr 0.724 0.724 0.000
Pr 0.224 0.776 0.500
Pr 0.776 0.224 0.500
Si 0.000 0.000 0.332
Si 0.500 0.500 0.832
Si 0.500 0.500 0.168
Si 0.000 0.000 0.668
N 0.000 0.000 0.000
N 0.500 0.500 0.500


# 18
The following is a DFT calculation (PBE-GGA) of Pr7Si2N2 after structural relaxation.

E_tot = -66.32 eV for the cell shown
space-group type = No. 44

a b c (Å): 3.537 9.463 9.463
angles (deg): 64.53 79.23 79.23
Element x y z (fractional)
Pr 0.813 0.085 0.289
Pr 0.844 0.383 0.929
Pr 0.500 0.008 0.992
Pr 0.625 0.467 0.283
Pr 0.375 0.717 0.533
Pr 0.187 0.711 0.915
Pr 0.156 0.071 0.617
Si 0.000 0.762 0.238
Si 0.500 0.327 0.673
N 0.770 0.892 0.567
N 0.230 0.433 0.108


# 19
The following is a DFT calculation (PBE-GGA) of Pr4Si2N after structural relaxation.

E_tot = -41.24 eV for the cell shown
space-group type = No. 139

a b c (Å): 4.951 4.951 8.269
angles (deg): 72.58 72.58 90.00
Element x y z (fractional)
Pr 0.682 0.682 0.635
Pr 0.318 0.318 0.365
Pr 0.000 0.500 0.000
Pr 0.500 0.000 0.000
Si 0.877 0.877 0.246
Si 0.123 0.123 0.754
N 0.000 0.000 0.000


Number 1: size of the total moment 0.00 μB per atom. Number 2: size of the total moment 0.00 μB per atom. Number 3: size of the total moment 0.00 μB per atom. Number 4: size of the total moment 0.00 μB per atom. Number 5: size of the total moment 0.00 μB per atom. Number 6: size of the total moment 0.00 μB per atom. Number 7: size of the total moment 0.00 μB per atom. Number 8: size of the total moment 0.00 μB per atom. Number 9: size of the total moment 0.20 μB per atom. Number 10: size of the total moment 0.00 μB per atom. Number 11: size of the total moment 0.12 μB per atom. Number 12: size of the total moment 0.00 μB per atom. Number 13: size of the total moment 0.00 μB per atom. Number 14: size of the total moment 0.00 μB per atom. Number 15: size of the total moment 0.00 μB per atom. Number 16: size of the total moment 0.00 μB per atom. Number 17: size of the total moment 0.00 μB per atom. Number 18: size of the total moment 0.00 μB per atom. Number 19: size of the total moment 0.00 μB per atom.